1.
Compound: CsK3Ta
Source: the Alexandria database
Functional: PBE-GGA
Structure: optimized geometry

Computed properties:
Formation enthalpy at 0 K: 1.725 eV per atom
V: 347.9 Å³/f.u.

Cell: 7.0335 7.0335 7.0335 Å, 90.00 90.00 90.00°
Each line ends with the local moment (μB).
Fractional coordinates of all 5 atoms:
Cs 0.0000 0.0000 0.0000  0.03
K 0.0000 0.5000 0.0000  0.02
K 0.0000 0.0000 0.5000  0.01
K 0.5000 0.0000 0.0000  0.02
Ta 0.5000 0.5000 0.5000  2.32

---

2.
Compound: CeInCu5
Source: the Alexandria database
Functional: PBE-GGA
Structure: optimized geometry

Computed properties:
Formation enthalpy at 0 K: -0.199 eV per atom
V: 111.7 Å³/f.u.

Cell: 5.0726 8.3166 10.5911 Å, 90.00 90.00 90.00°
Each line ends with the local moment (μB).
Fractional coordinates of all 28 atoms:
Ce 0.2500 0.2461 0.9403  0.20
Ce 0.7500 0.2539 0.4403  0.20
Ce 0.2500 0.7461 0.5597  0.20
Ce 0.7500 0.7539 0.0597  0.20
In 0.2500 0.8625 0.8625  -0.01
In 0.7500 0.6375 0.3625  -0.01
In 0.2500 0.3625 0.6375  -0.01
In 0.7500 0.1375 0.1375  -0.01
Cu 0.2500 0.5835 0.0162  0.00
Cu 0.7500 0.9165 0.5162  0.00
Cu 0.2500 0.0835 0.4838  0.00
Cu 0.7500 0.4165 0.9838  0.00
Cu 0.7500 0.3189 0.7557  0.00
Cu 0.2500 0.1811 0.2557  0.00
Cu 0.7500 0.8189 0.7443  0.00
Cu 0.2500 0.6811 0.2443  0.00
Cu 0.2500 0.9383 0.1067  0.00
Cu 0.7500 0.5617 0.6067  0.00
Cu 0.2500 0.4383 0.3933  0.00
Cu 0.7500 0.0617 0.8933  0.00
Cu 0.9991 0.4313 0.1870  0.00
Cu 0.0009 0.0687 0.6870  0.00
Cu 0.5009 0.9313 0.3130  0.00
Cu 0.4991 0.5687 0.8130  0.00
Cu 0.0009 0.5687 0.8130  0.00
Cu 0.9991 0.9313 0.3130  0.00
Cu 0.4991 0.0687 0.6870  0.00
Cu 0.5009 0.4313 0.1870  0.00

---

3.
Compound: YMg2Cu
Source: the Alexandria database
Functional: PBE-GGA
Structure: optimized geometry

Computed properties:
Formation enthalpy at 0 K: -0.073 eV per atom
V: 87.6 Å³/f.u.

Cell: 6.0778 6.0778 6.0778 Å, 148.78 130.58 59.62°
Fractional coordinates of all 4 atoms:
Cu 0.2500 0.7500 0.5000
Mg 0.0407 0.0407 0.0000
Mg 0.4593 0.4593 0.0000
Y 0.7500 0.2500 0.5000

---

4.
Compound: NbGeSbTe2
Source: the Alexandria database
Functional: PBE-GGA
Structure: optimized geometry

Computed properties:
Raw formation energy: 494 meV per atom
V: 157.8 Å³/f.u.

Cell: 5.3842 5.3842 5.4418 Å, 90.00 90.00 90.00°
Each line ends with the local moment (μB).
Fractional coordinates of all 5 atoms:
Sb 0.0000 0.0000 0.5000  -0.06
Nb 0.0000 0.0000 0.0000  0.39
Te 0.0000 0.5000 0.0000  -0.06
Te 0.5000 0.0000 0.0000  -0.06
Ge 0.5000 0.5000 0.5000  0.33

---

What did the second record say?
Compound: CeInCu5
Source: the Alexandria database
Functional: PBE-GGA
Structure: optimized geometry

Computed properties:
Formation enthalpy at 0 K: -0.199 eV per atom
V: 111.7 Å³/f.u.

Cell: 5.0726 8.3166 10.5911 Å, 90.00 90.00 90.00°
Each line ends with the local moment (μB).
Fractional coordinates of all 28 atoms:
Ce 0.2500 0.2461 0.9403  0.20
Ce 0.7500 0.2539 0.4403  0.20
Ce 0.2500 0.7461 0.5597  0.20
Ce 0.7500 0.7539 0.0597  0.20
In 0.2500 0.8625 0.8625  -0.01
In 0.7500 0.6375 0.3625  -0.01
In 0.2500 0.3625 0.6375  -0.01
In 0.7500 0.1375 0.1375  -0.01
Cu 0.2500 0.5835 0.0162  0.00
Cu 0.7500 0.9165 0.5162  0.00
Cu 0.2500 0.0835 0.4838  0.00
Cu 0.7500 0.4165 0.9838  0.00
Cu 0.7500 0.3189 0.7557  0.00
Cu 0.2500 0.1811 0.2557  0.00
Cu 0.7500 0.8189 0.7443  0.00
Cu 0.2500 0.6811 0.2443  0.00
Cu 0.2500 0.9383 0.1067  0.00
Cu 0.7500 0.5617 0.6067  0.00
Cu 0.2500 0.4383 0.3933  0.00
Cu 0.7500 0.0617 0.8933  0.00
Cu 0.9991 0.4313 0.1870  0.00
Cu 0.0009 0.0687 0.6870  0.00
Cu 0.5009 0.9313 0.3130  0.00
Cu 0.4991 0.5687 0.8130  0.00
Cu 0.0009 0.5687 0.8130  0.00
Cu 0.9991 0.9313 0.3130  0.00
Cu 0.4991 0.0687 0.6870  0.00
Cu 0.5009 0.4313 0.1870  0.00

---

Copy entry 3 word for word.
Compound: YMg2Cu
Source: the Alexandria database
Functional: PBE-GGA
Structure: optimized geometry

Computed properties:
Formation enthalpy at 0 K: -0.073 eV per atom
V: 87.6 Å³/f.u.

Cell: 6.0778 6.0778 6.0778 Å, 148.78 130.58 59.62°
Fractional coordinates of all 4 atoms:
Cu 0.2500 0.7500 0.5000
Mg 0.0407 0.0407 0.0000
Mg 0.4593 0.4593 0.0000
Y 0.7500 0.2500 0.5000